[1]
! PBE Th2RuCl, optimized geometry; values from VASP
&SYSTEM
  ibrav = 0, nat = 4, ntyp = 3
/
ATOMIC_SPECIES
Th 232.04 Th.upf
Ru 101.07 Ru.upf
Cl 35.45 Cl.upf
CELL_PARAMETERS angstrom
4.049 -0.301 -0.841
-1.899 3.679 -0.221
-0.419 0.235 7.984
ATOMIC_POSITIONS angstrom
Th 0.101 0.069 0.424
Th 2.790 1.587 2.617
Ru 0.496 2.668 1.410
Cl 1.236 0.946 5.512
! **Energy relative to the lowest polymorph listed for this composition**: 0.0 meV/atom
! **SG**: C2/m (12)
! **Raw total energy**: -29.675 eV/f.u.
! **Raw formation energy**: -0.928 eV per atom
! **Spin magnetization**: 0.000 μB/atom

***

[2]
! PBE Th3RuCl3, optimized geometry; values from VASP
&SYSTEM
  ibrav = 0, nat = 14, ntyp = 3
/
ATOMIC_SPECIES
Th 232.04 Th.upf
Ru 101.07 Ru.upf
Cl 35.45 Cl.upf
CELL_PARAMETERS angstrom
-2.224 -6.495 -1.182
3.621 -5.422 2.453
-5.182 -3.676 9.417
ATOMIC_POSITIONS angstrom
Th -1.847 -8.294 1.013
Th 1.299 -9.665 3.034
Th 0.780 -5.742 2.578
Th -4.564 -9.852 8.110
Th -5.083 -5.929 7.654
Th -1.937 -7.300 9.675
Ru 0.932 -7.945 0.847
Ru -4.716 -7.649 9.841
Cl 1.014 -7.492 5.029
Cl -2.139 -6.039 3.001
Cl -1.676 -10.011 3.422
Cl -2.108 -5.583 7.265
Cl -1.646 -9.555 7.687
Cl -4.798 -8.102 5.659
! **SG**: R-3 (148)
! **Raw total energy**: -45.928 eV/f.u.
! **Raw formation energy**: -1.265 eV per atom
! **Spin magnetization**: 0.000 μB/atom

***

[3]
! PBE Th2RuCl, optimized geometry; values from VASP
&SYSTEM
  ibrav = 0, nat = 4, ntyp = 3
/
ATOMIC_SPECIES
Th 232.04 Th.upf
Ru 101.07 Ru.upf
Cl 35.45 Cl.upf
CELL_PARAMETERS angstrom
4.107 0.000 0.000
2.054 3.557 0.000
2.054 1.186 7.811
ATOMIC_POSITIONS angstrom
Th 2.054 1.186 6.294
Th 2.054 1.186 1.463
Ru 6.161 3.557 7.776
Cl 4.107 2.371 3.995
! **Energy relative to the lowest polymorph listed for this composition**: 25.4 meV/atom
! **SG**: R3m (160)
! **Raw total energy**: -29.574 eV/f.u.
! **Raw formation energy**: -0.903 eV per atom
! **Spin magnetization**: 0.000 μB/atom

***

[4]
! PBE TiRuCl2, optimized geometry; values from VASP
&SYSTEM
  ibrav = 0, nat = 8, ntyp = 3
/
ATOMIC_SPECIES
Ru 101.07 Ru.upf
Cl 35.45 Cl.upf
Ti 47.87 Ti.upf
CELL_PARAMETERS angstrom
-5.356 0.349 0.967
0.711 -2.451 4.819
-1.612 3.598 5.153
ATOMIC_POSITIONS angstrom
Ru 0.000 0.000 0.000
Ru -4.645 1.448 4.507
Cl -3.655 0.811 2.494
Cl -0.634 -0.589 4.422
Cl -2.950 1.907 6.040
Cl -5.274 0.862 8.922
Ti -2.323 -1.051 2.893
Ti -1.612 0.048 6.433
! **Energy relative to the lowest polymorph listed for this composition**: 503.2 meV/atom
! **SG**: I-42d (122)
! **Raw total energy**: -20.082 eV/f.u.
! **Raw formation energy**: 0.196 eV per atom
! **Spin magnetization**: 0.001 μB/atom

***

[5]
! PBE TiRu3Cl, optimized geometry; values from VASP
&SYSTEM
  ibrav = 0, nat = 5, ntyp = 3
/
ATOMIC_SPECIES
Ru 101.07 Ru.upf
Cl 35.45 Cl.upf
Ti 47.87 Ti.upf
CELL_PARAMETERS angstrom
4.666 0.000 0.000
0.000 4.666 0.000
0.000 0.000 4.666
ATOMIC_POSITIONS angstrom
Ru 0.000 2.333 0.000
Ru 0.000 0.000 2.333
Ru 2.333 0.000 0.000
Cl 2.333 2.333 2.333
Ti 0.000 0.000 0.000
! **SG**: Pm-3m (221)
! **Raw total energy**: -30.248 eV/f.u.
! **Raw formation energy**: 1.464 eV per atom
! **Spin magnetization**: 0.981 μB/atom

***

[6]
! PBE TiRuCl2, optimized geometry; values from VASP
&SYSTEM
  ibrav = 0, nat = 4, ntyp = 3
/
ATOMIC_SPECIES
Ru 101.07 Ru.upf
Cl 35.45 Cl.upf
Ti 47.87 Ti.upf
CELL_PARAMETERS angstrom
-3.486 -6.731 3.081
-1.848 -5.794 5.474
-4.605 -4.604 4.954
ATOMIC_POSITIONS angstrom
Ru 0.000 0.000 0.000
Cl -8.985 -15.486 12.213
Cl -0.954 -1.644 1.296
Ti -4.970 -8.565 6.755
! **Energy relative to the lowest polymorph listed for this composition**: 0.0 meV/atom
! **SG**: R-3m (166)
! **Raw total energy**: -22.095 eV/f.u.
! **Raw formation energy**: -0.308 eV per atom
! **Spin magnetization**: 0.000 μB/atom

***

[7]
! PBE TlRuCl2, optimized geometry; values from VASP
&SYSTEM
  ibrav = 0, nat = 4, ntyp = 3
/
ATOMIC_SPECIES
Ru 101.07 Ru.upf
Tl 204.38 Tl.upf
Cl 35.45 Cl.upf
CELL_PARAMETERS angstrom
3.447 0.000 0.000
0.000 3.448 0.000
0.000 0.000 8.372
ATOMIC_POSITIONS angstrom
Ru 0.000 0.000 2.603
Tl 1.723 1.724 6.624
Cl 0.000 0.000 0.126
Cl 1.723 1.724 3.205
! **Energy relative to the lowest polymorph listed for this composition**: 310.3 meV/atom
! **SG**: P4mm (99)
! **Raw total energy**: -14.945 eV/f.u.
! **Raw formation energy**: 0.098 eV per atom
! **Spin magnetization**: 0.449 μB/atom

***

[8]
! PBE TlRuCl6, optimized geometry; values from VASP
&SYSTEM
  ibrav = 0, nat = 8, ntyp = 3
/
ATOMIC_SPECIES
Tl 204.38 Tl.upf
Ru 101.07 Ru.upf
Cl 35.45 Cl.upf
CELL_PARAMETERS angstrom
6.777 0.000 0.000
3.389 5.869 0.000
3.389 1.956 6.149
ATOMIC_POSITIONS angstrom
Tl 6.777 3.913 3.075
Ru 0.000 0.000 0.000
Cl 11.918 6.881 4.804
Cl 8.414 6.881 4.804
Cl 3.389 3.980 1.346
Cl 5.141 0.945 1.346
Cl 1.637 0.945 1.346
Cl 10.166 3.846 4.804
! **Energy relative to the lowest polymorph listed for this composition**: 44.8 meV/atom
! **SG**: R-3m (166)
! **Raw total energy**: -27.144 eV/f.u.
! **Raw formation energy**: -0.553 eV per atom
! **Spin magnetization**: 0.388 μB/atom

***

> Which of these has the lowest raw formation energy?

Th3RuCl3